Entry 1:
ZrCdCl | PBE | optimized geometry

abc: 7.815 7.819 3.168
angles: 78.22 78.39 23.38
Sites, in units of the cell vectors:
Zr 0.679 0.679 0.321
Cd 0.036 0.036 0.964
Cl 0.285 0.285 0.715

## Properties
total magnetization = 0.0 Bohr magnetons per cell
energy relative to the elements, uncorrected = -0.5718 eV per atom
total energy = -4.342 eV per atom
space-group type = No. 42
crystal system = orthorhombic
energy above the lowest structure with this stoichiometry = 147 meV per atom


Entry 2:
Pr2Sc3Pt4 | PBE | optimized geometry

abc: 6.482 7.350 8.922
angles: 90.00 111.30 90.00
Sites, in units of the cell vectors:
Pt 0.673 0.533 0.347
Sc 0.480 0.250 0.461
Sc 0.000 0.000 0.000
Pt 0.814 0.250 0.127
Pt 0.686 0.750 0.873
Sc 0.500 0.500 0.000
Pt 0.314 0.250 0.127
Pr 0.401 0.089 0.802
Sc 0.020 0.750 0.539
Pt 0.173 0.967 0.347
Sc 0.520 0.750 0.539
Pt 0.327 0.467 0.653
Pr 0.099 0.589 0.198
Pr 0.599 0.911 0.198
Pr 0.901 0.411 0.802
Pt 0.827 0.033 0.653
Pt 0.186 0.750 0.873
Sc 0.980 0.250 0.461

## Properties
total magnetization = 0.0 Bohr magnetons per cell
total energy = -6.879 eV per atom
space-group type = No. 64
ΔE_f = -1.021 eV per atom
crystal system = orthorhombic
energy above the lowest structure with this stoichiometry = 108 meV per atom


Entry 3:
ZrTcIr2 | PBE | optimized geometry

abc: 4.021 4.021 3.949
angles: 90.00 90.00 90.00
Sites, in units of the cell vectors:
Zr 0.000 0.500 0.500
Ir 0.000 0.000 0.000
Tc 0.500 0.000 0.500
Ir 0.500 0.500 0.000

## Properties
total magnetization = 0.0 Bohr magnetons per cell
total energy = -9.620 eV per atom
space-group type = No. 123
ΔE_f = -0.461 eV per atom
crystal system = tetragonal
energy above the lowest structure with this stoichiometry = 0 meV per atom